Density functional theory data (PBE+U) for a relaxed EuV4SnO12 crystal.

Summary:
Total DFT energy (no corrections), eV/atom: -7.5783
DOS at the Fermi energy, states/eV per cell: 24.06

The structure in CIF format:
```
data_EuV4SnO12
_symmetry_space_group_name_H-M 'C m m m'
_symmetry_Int_Tables_number 65
_symmetry_space_group_name_Hall '-C 2 2'
_cell_length_a 7.508
_cell_length_b 7.539
_cell_length_c 7.616
_cell_angle_alpha 90.00
_cell_angle_beta 90.00
_cell_angle_gamma 90.00
loop_
_atom_site_label
_atom_site_fract_x
_atom_site_fract_y
_atom_site_fract_z
_atom_site_occupancy
Eu1 0.000 0.000 0.000 1
V1 0.250 0.250 0.250 1
Sn1 0.000 0.500 0.500 1
O1 0.000 0.219 0.247 1
O2 0.221 0.500 0.249 1
O3 0.250 0.250 0.000 1
O4 0.250 0.250 0.500 1
```